Computed, not measured: crystalline Li2AgSnF8 at its relaxed geometry at the GGA-PBE level of DFT.

Computed properties:
As for the total magnetization: 1.0 μB per formula unit. For the formation energy without anion corrections, the calculation gives -27.626 eV/f.u. The density of states at the Fermi level comes out at 0.84 states/eV/f.u.

a b c (Å): 4.771 4.768 6.865
angles (deg): 90.00 89.99 90.87
Each line ends with the local moment (μB).
Fractional positions:
Li: 0.500 0.500 0.736  0.00
F: 0.691 0.692 0.500  0.14
F: 0.202 0.797 0.785  0.03
F: 0.798 0.203 0.215  0.03
F: 0.297 0.296 0.000  0.00
F: 0.703 0.704 0.000  0.00
F: 0.798 0.203 0.785  0.03
F: 0.202 0.797 0.215  0.03
Ag: 0.000 0.000 0.500  0.56
Sn: 0.000 0.000 0.000  0.00
F: 0.309 0.308 0.500  0.14
Li: 0.500 0.500 0.264  0.00

Computed, not measured: crystalline NiOsIN2 at its relaxed geometry at the GGA-PBE level of DFT.

Computed properties:
As for the total magnetization: 1.9 μB per formula unit. For the formation energy without anion corrections, the calculation gives 10.224 eV/f.u. The density of states at the Fermi level comes out at 4.59 states/eV/f.u.

a b c (Å): 3.659 3.659 6.589
angles (deg): 90.00 90.00 90.00
Each line ends with the local moment (μB).
Fractional positions:
N: 0.000 0.500 0.000  0.27
Ni: 0.000 0.000 0.000  0.11
Os: 0.500 0.500 0.500  0.86
N: 0.500 0.000 0.000  0.27
I: 0.000 0.000 0.500  0.01

Computed, not measured: crystalline Th4HgPd2 at its relaxed geometry at the GGA-PBE level of DFT.

Computed properties:
As for the total magnetization: 0.0 μB per formula unit. The value obtained for the energy of formation is -1.9 eV/f.u. The density of states at the Fermi level comes out at 8.46 states/eV/f.u.

a b c (Å): 4.331 4.331 12.856
angles (deg): 80.30 80.30 60.00
Fractional positions:
Pd: 0.597 0.597 0.208
Th: 0.697 0.697 0.909
Pd: 0.403 0.403 0.792
Hg: 0.500 0.500 0.500
Th: 0.111 0.111 0.667
Th: 0.303 0.303 0.091
Th: 0.889 0.889 0.333

Computed, not measured: crystalline SrBeCd2 at its relaxed geometry at the GGA-PBE level of DFT.

Computed properties:
As for the total magnetization: 0.0 μB per formula unit. The value obtained for the energy of formation is 0.8 eV/f.u. The density of states at the Fermi level comes out at 2.79 states/eV/f.u.

a b c (Å): 3.376 3.376 7.973
angles (deg): 90.00 90.00 90.00
Fractional positions:
Be: 0.500 0.500 0.750
Sr: 0.500 0.500 0.250
Cd: 0.000 0.000 0.563
Cd: 0.000 0.000 0.937

Computed, not measured: crystalline TcOs2Au at its relaxed geometry at the GGA-PBE level of DFT.

Computed properties:
As for the total magnetization: 0.0 μB per formula unit. The value obtained for the energy of formation is 1.3 eV/f.u. The density of states at the Fermi level comes out at 4.46 states/eV/f.u.

a b c (Å): 2.756 2.756 8.023
angles (deg): 90.00 90.00 90.00
Fractional positions:
Tc: 0.000 0.000 0.487
Au: 0.500 0.500 0.750
Os: 0.000 0.000 0.019
Os: 0.500 0.500 0.244

Copy entry 5 word for word.
Computed, not measured: crystalline TcOs2Au at its relaxed geometry at the GGA-PBE level of DFT.

Computed properties:
As for the total magnetization: 0.0 μB per formula unit. The value obtained for the energy of formation is 1.3 eV/f.u. The density of states at the Fermi level comes out at 4.46 states/eV/f.u.

a b c (Å): 2.756 2.756 8.023
angles (deg): 90.00 90.00 90.00
Fractional positions:
Tc: 0.000 0.000 0.487
Au: 0.500 0.500 0.750
Os: 0.000 0.000 0.019
Os: 0.500 0.500 0.244